Entry from Alexandria: crystalline Cs2GaBiH at its relaxed geometry (PBE). Values from VASP.

```
&SYSTEM
  ibrav = 0, nat = 10, ntyp = 4
/
ATOMIC_SPECIES
Cs 132.91 Cs.upf
Bi 208.98 Bi.upf
Ga 69.72 Ga.upf
H 1.01 H.upf
ATOMIC_POSITIONS crystal
Cs 0.750 0.789 0.578
Bi 0.750 0.392 0.723
Ga 0.750 0.379 0.207
H 0.750 0.215 0.270
Cs 0.750 0.789 0.081
Cs 0.250 0.211 0.919
Cs 0.250 0.211 0.422
Ga 0.250 0.621 0.793
Bi 0.250 0.608 0.277
H 0.250 0.785 0.730
CELL_PARAMETERS angstrom
-4.683 -0.369 -0.248
0.269 -6.225 4.181
-1.163 10.429 6.444
```

Total magnetization   0.00 Bohr magnetons per cell
E   -2.63 eV/atom
Symmetry   No. 11